{"formula": "Mg2ZrBe", "functional": "SCAN", "state": "single point on PBEsol structure", "dft_energy_ev_per_cell": -44.4, "volume_a3_per_atom": 18.10, "sg": "Pmmm, No. 47", "mass_density_g_cm3": 3.41, "lattice_angstrom": [[-0.7356, 1.7880, 3.1533], [-4.1905, -0.0967, -0.9227], [-0.3864, -3.9916, 2.1732]], "species": ["Be", "Mg", "Zr", "Mg"], "fractional_positions": [[0.0000, 0.5000, 0.5000], [0.0000, 0.0000, 0.0000], [0.5000, 0.0000, 0.5000], [0.5000, 0.5000, 0.0000]]}

=====

{"formula": "Be2AlRh", "functional": "SCAN", "state": "single point on PBEsol structure", "dft_energy_ev_per_cell": -52.3, "volume_a3_per_atom": 11.18, "sg": "F-43m, No. 216", "mass_density_g_cm3": 5.49, "lattice_angstrom": [[3.9848, 0.0000, 0.0000], [1.9924, 3.4509, 0.0000], [1.9924, 1.1503, 3.2535]], "species": ["Be", "Rh", "Al", "Be"], "fractional_positions": [[0.7500, 0.7500, 0.7500], [0.2500, 0.2500, 0.2500], [0.5000, 0.5000, 0.5000], [0.0000, 0.0000, 0.0000]]}

=====

{"formula": "LiBi3Cl2O4", "functional": "SCAN", "state": "single point on PBEsol structure", "raw_formation_energy_ev_per_atom": -1.3986, "dft_energy_ev_per_cell": -293.0, "volume_a3_per_atom": 17.68, "relative_energy_mev_per_atom": 4.9, "sg": "Amm2, No. 38", "mass_density_g_cm3": 7.22, "lattice_angstrom": [[5.4394, 0.0000, 0.0000], [0.0000, 5.4343, 0.0000], [-2.7197, 0.0000, 5.9814]], "species": ["O", "Bi", "O", "O", "Li", "Bi", "O", "Bi", "Cl", "Cl"], "fractional_positions": [[0.9993, 0.2488, 0.4936], [0.1504, 0.0000, 0.3008], [0.4944, 0.7512, 0.4936], [0.4944, 0.2488, 0.4936], [0.6978, 0.5000, 0.3956], [0.8424, 0.0000, 0.6848], [0.9993, 0.7512, 0.4936], [0.3463, 0.5000, 0.6926], [0.4931, 0.0000, 0.9862], [0.9827, 0.5000, 0.9654]]}

=====

{"formula": "Sc3Si2Ni3", "functional": "SCAN", "state": "single point on PBEsol structure", "raw_formation_energy_ev_per_atom": -0.7680, "dft_energy_ev_per_cell": -234.8, "volume_a3_per_atom": 15.07, "sg": "Cmcm, No. 63", "mass_density_g_cm3": 5.06, "lattice_angstrom": [[3.9049, 0.0000, 0.0000], [-1.9525, 4.7308, 0.0000], [0.0000, 0.0000, 13.0511]], "species": ["Sc", "Si", "Ni", "Ni", "Ni", "Sc", "Sc", "Sc", "Ni", "Ni", "Sc", "Sc", "Ni", "Si", "Si", "Si"], "fractional_positions": [[0.6289, 0.2578, 0.7500], [0.7880, 0.5759, 0.4018], [0.3360, 0.6720, 0.7500], [0.3806, 0.7611, 0.0404], [0.6194, 0.2389, 0.5404], [0.3711, 0.7422, 0.2500], [0.9190, 0.8380, 0.6059], [0.0810, 0.1620, 0.1059], [0.6194, 0.2389, 0.9596], [0.6640, 0.3280, 0.2500], [0.0810, 0.1620, 0.3941], [0.9190, 0.8380, 0.8941], [0.3806, 0.7611, 0.4596], [0.2120, 0.4241, 0.5982], [0.7880, 0.5759, 0.0982], [0.2120, 0.4241, 0.9018]]}

=====

{"formula": "MgTeIrI2", "functional": "SCAN", "state": "single point on PBEsol structure", "raw_formation_energy_ev_per_atom": 0.2819, "dft_energy_ev_per_cell": -185.4, "volume_a3_per_atom": 30.29, "sg": "P4/mmm, No. 123", "mass_density_g_cm3": 6.56, "lattice_angstrom": [[-0.5852, 5.0337, -0.3840], [-5.4217, -0.6177, 0.1659], [0.1177, 0.4288, 5.4412]], "species": ["I", "Mg", "Ir", "Te", "I"], "fractional_positions": [[0.0000, 0.5000, 0.0000], [0.5000, 0.5000, 0.5000], [0.0000, 0.0000, 0.0000], [0.5000, 0.0000, 0.0000], [0.0000, 0.0000, 0.5000]]}

=====

{"formula": "Fe2SbPt", "functional": "SCAN", "state": "single point on PBEsol structure", "raw_formation_energy_ev_per_atom": -0.0527, "dft_energy_ev_per_cell": -143.9, "volume_a3_per_atom": 14.32, "sg": "I-4m2, No. 119", "mass_density_g_cm3": 12.42, "lattice_angstrom": [[-1.5877, 3.4047, -0.7517], [-2.7268, -0.6969, 2.6031], [4.3718, 0.2880, 1.8336]], "species": ["Fe", "Fe", "Sb", "Pt"], "fractional_positions": [[0.7500, 0.2500, 0.4999], [0.0000, 0.0000, 0.0001], [0.2500, 0.7500, 0.5000], [0.5000, 0.5000, 0.0000]]}

=====

{"formula": "AlCdNi2", "functional": "SCAN", "state": "single point on PBEsol structure", "dft_energy_ev_per_cell": -71.0, "volume_a3_per_atom": 13.63, "sg": "P4mm, No. 99", "mass_density_g_cm3": 7.82, "lattice_angstrom": [[2.9753, 0.0000, 0.0000], [0.0000, 2.9839, 0.0000], [0.0000, 0.0000, 6.1428]], "species": ["Al", "Ni", "Cd", "Ni"], "fractional_positions": [[0.0000, 0.0000, 0.4375], [0.5000, 0.5000, 0.2520], [0.5000, 0.5000, 0.7762], [0.0000, 0.0000, 0.0342]]}

=====

{"formula": "InCuHg", "functional": "SCAN", "state": "single point on PBEsol structure", "dft_energy_ev_per_cell": -116.2, "volume_a3_per_atom": 19.60, "relative_energy_mev_per_atom": 147.4, "sg": "P3m1, No. 156", "mass_density_g_cm3": 10.70, "lattice_angstrom": [[3.5061, 0.0000, 0.0000], [0.0000, 4.4008, 0.0000], [0.0000, -2.2004, 3.8112]], "species": ["Cu", "In", "Hg"], "fractional_positions": [[0.9658, 0.0000, 0.0000], [0.2865, 0.3333, 0.6667], [0.7477, 0.6667, 0.3333]]}